{"formula": "P3Br", "functional": "PBEsol", "state": "relaxed", "lattice": [[3.050, 0.000, 0.000], [0.000, 4.638, 0.000], [0.000, 0.000, 4.638]], "species": ["P", "P", "Br", "P"], "frac_coords": [[0.500, 0.000, 0.500], [0.000, 0.500, 0.500], [0.000, 0.000, 0.000], [0.500, 0.500, 0.000]], "relative_energy_ev_per_atom": 0.569, "dos_at_fermi_per_ev_cell": 2.11, "spacegroup": "P4/mmm, No. 123"}

---

{"formula": "PBr3", "functional": "PBEsol", "state": "relaxed", "lattice": [[-3.573, -2.495, -2.468], [2.028, -3.749, 0.854], [-5.927, -1.018, 9.612]], "species": ["Br", "Br", "P", "Br", "Br", "P", "Br", "Br"], "frac_coords": [[0.500, 0.354, 0.000], [0.500, 0.210, 0.655], [0.000, 0.475, 0.000], [0.500, 0.210, 0.345], [0.000, 0.790, 0.845], [0.500, 0.525, 0.500], [0.000, 0.790, 0.155], [0.000, 0.646, 0.500]], "spacegroup": "Pmmn, No. 59"}

---

{"formula": "PBr3", "functional": "PBEsol", "state": "relaxed", "lattice": [[-3.915, -2.314, 1.913], [2.711, -6.629, -2.470], [3.618, -0.642, 6.626]], "species": ["Br", "P", "Br", "Br", "Br", "P", "Br", "Br"], "frac_coords": [[0.750, 0.973, 0.027], [0.250, 0.484, 0.516], [0.250, 0.194, 0.472], [0.750, 0.472, 0.194], [0.750, 0.806, 0.528], [0.750, 0.516, 0.484], [0.250, 0.027, 0.973], [0.250, 0.528, 0.806]], "dos_at_fermi_per_ev_cell": 1.52, "spacegroup": "Cmcm, No. 63"}

---

{"formula": "PBr5", "functional": "PBEsol", "state": "relaxed", "lattice": [[5.756, 0.000, 0.000], [0.000, 8.403, 0.000], [0.000, 0.000, 17.416]], "species": ["Br", "Br", "Br", "Br", "Br", "Br", "Br", "Br", "P", "Br", "Br", "Br", "Br", "Br", "Br", "Br", "Br", "P", "P", "Br", "Br", "Br", "P", "Br"], "frac_coords": [[0.269, 0.750, 0.036], [0.719, 0.464, 0.368], [0.719, 0.964, 0.132], [0.021, 0.750, 0.389], [0.290, 0.750, 0.243], [0.281, 0.964, 0.632], [0.719, 0.036, 0.368], [0.979, 0.250, 0.611], [0.501, 0.250, 0.863], [0.269, 0.250, 0.464], [0.719, 0.536, 0.132], [0.710, 0.250, 0.757], [0.281, 0.536, 0.632], [0.979, 0.750, 0.889], [0.021, 0.250, 0.111], [0.281, 0.036, 0.868], [0.290, 0.250, 0.257], [0.499, 0.250, 0.363], [0.499, 0.750, 0.137], [0.281, 0.464, 0.868], [0.710, 0.750, 0.743], [0.731, 0.250, 0.964], [0.501, 0.750, 0.637], [0.731, 0.750, 0.536]], "dos_at_fermi_per_ev_cell": 0.00, "spacegroup": "Pbcm, No. 57"}

---

{"formula": "PPbBr2", "functional": "PBEsol", "state": "relaxed", "lattice": [[3.598, 0.000, 0.000], [0.000, 4.626, 0.000], [0.000, 0.000, 5.875]], "species": ["P", "Br", "Br", "Pb"], "frac_coords": [[0.500, 0.500, 0.000], [0.000, 0.000, 0.000], [0.500, 0.000, 0.500], [0.000, 0.500, 0.500]], "relative_energy_ev_per_atom": 0.033, "dos_at_fermi_per_ev_cell": 1.73, "spacegroup": "Pmmm, No. 47"}

---

{"formula": "PPb2Br", "functional": "PBEsol", "state": "relaxed", "lattice": [[4.214, 0.000, 0.000], [2.107, 3.650, 0.000], [2.107, 1.217, 7.340]], "species": ["Pb", "Br", "Pb", "P"], "frac_coords": [[0.736, 0.736, 0.793], [0.500, 0.500, 0.500], [0.264, 0.264, 0.207], [0.000, 0.000, 0.000]], "relative_energy_ev_per_atom": 0.000, "dos_at_fermi_per_ev_cell": 0.21, "spacegroup": "R-3m, No. 166"}

---

{"formula": "PPb2Br", "functional": "PBEsol", "state": "relaxed", "lattice": [[4.122, 0.000, 0.000], [2.061, 3.570, 0.000], [2.061, 1.190, 7.797]], "species": ["Br", "Pb", "Pb", "P"], "frac_coords": [[0.495, 0.495, 0.516], [0.986, 0.986, 0.042], [0.753, 0.753, 0.742], [0.267, 0.267, 0.200]], "relative_energy_ev_per_atom": 0.336, "dos_at_fermi_per_ev_cell": 0.61, "spacegroup": "R3m, No. 160"}

---

{"formula": "PPbBr2", "functional": "PBEsol", "state": "relaxed", "lattice": [[-0.509, -1.298, -3.204], [-2.707, -2.122, -0.615], [-6.191, 5.990, -3.348]], "species": ["Br", "Br", "P", "Pb"], "frac_coords": [[0.242, 0.242, 0.275], [0.758, 0.758, 0.725], [0.500, 0.500, 0.500], [0.000, 0.000, 0.000]], "relative_energy_ev_per_atom": 0.210, "dos_at_fermi_per_ev_cell": 2.37, "spacegroup": "R-3m, No. 166"}

---

Number 1: formation energy (no corrections) 0.8794 eV/atom, electronic total energy -15.727 eV for the cell shown. Number 2: formation energy (no corrections) -0.2712 eV/atom, electronic total energy -24.972 eV for the cell shown. Number 3: formation energy (no corrections) -0.1904 eV/atom, electronic total energy -24.326 eV for the cell shown. Number 4: formation energy (no corrections) -0.3019 eV/atom, electronic total energy -67.811 eV for the cell shown. Number 5: formation energy (no corrections) 0.1061 eV/atom, electronic total energy -13.106 eV for the cell shown. Number 6: formation energy (no corrections) -0.3209 eV/atom, electronic total energy -16.942 eV for the cell shown. Number 7: formation energy (no corrections) 0.0156 eV/atom, electronic total energy -15.596 eV for the cell shown. Number 8: formation energy (no corrections) 0.2827 eV/atom, electronic total energy -12.399 eV for the cell shown.